Entry 1:
Compound: Dy11Ge10
Source: the Alexandria database
Functional: PBEsol
Structure: relaxed

Geometry as POSCAR:
```
Dy11Ge10
1.0
10.747 0.000 0.000
-5.373 9.730 0.007
0.000 -5.941 8.955
Dy Ge
22 20
Direct
0.839 0.678 0.839 Dy
0.322 0.000 0.678 Dy
0.690 0.380 0.942 Dy
0.897 0.795 0.574 Dy
0.678 0.000 0.322 Dy
0.780 0.205 0.103 Dy
0.058 0.620 0.310 Dy
0.310 0.620 0.562 Dy
0.897 0.795 0.220 Dy
0.220 0.795 0.897 Dy
0.426 0.205 0.103 Dy
0.678 0.000 0.678 Dy
0.562 0.620 0.310 Dy
0.438 0.380 0.690 Dy
0.574 0.795 0.897 Dy
0.942 0.380 0.690 Dy
0.161 0.322 0.161 Dy
0.690 0.380 0.438 Dy
0.103 0.205 0.780 Dy
0.103 0.205 0.426 Dy
0.310 0.620 0.058 Dy
0.322 0.000 0.322 Dy
0.972 0.363 0.391 Ge
0.391 0.363 0.972 Ge
0.880 0.000 0.120 Ge
0.390 0.781 0.390 Ge
0.609 0.637 0.609 Ge
0.610 0.219 0.610 Ge
0.028 0.637 0.609 Ge
0.609 0.637 0.028 Ge
0.863 0.000 0.500 Ge
0.250 0.500 0.750 Ge
0.500 0.000 0.863 Ge
0.972 0.363 0.972 Ge
0.880 0.000 0.880 Ge
0.137 0.000 0.500 Ge
0.120 0.000 0.880 Ge
0.500 0.000 0.137 Ge
0.028 0.637 0.028 Ge
0.391 0.363 0.391 Ge
0.120 0.000 0.120 Ge
0.750 0.500 0.250 Ge
```

Entry 2:
Compound: DyGe
Source: the Alexandria database
Functional: PBEsol
Structure: relaxed

Geometry as POSCAR:
```
DyGe
1.0
-2.963 -2.480 -0.496
0.848 -1.762 3.751
-2.842 2.552 4.227
Dy Ge
2 2
Direct
0.250 0.139 0.723 Dy
0.750 0.861 0.277 Dy
0.750 0.585 0.831 Ge
0.250 0.415 0.169 Ge
```

Entry 3:
Compound: Dy3Ge5
Source: the Alexandria database
Functional: PBEsol
Structure: relaxed

Geometry as POSCAR:
```
Dy3Ge5
1.0
6.800 0.000 0.000
-3.400 5.889 0.000
0.000 0.000 8.218
Ge Dy
10 6
Direct
0.332 0.406 0.750 Ge
0.667 0.333 0.750 Ge
0.333 0.667 0.250 Ge
0.406 0.332 0.250 Ge
0.000 0.000 0.750 Ge
0.074 0.668 0.750 Ge
0.926 0.594 0.250 Ge
0.668 0.074 0.250 Ge
0.000 0.000 0.250 Ge
0.594 0.926 0.750 Ge
0.330 0.000 0.000 Dy
0.000 0.330 0.500 Dy
0.330 0.000 0.500 Dy
0.670 0.670 0.500 Dy
0.670 0.670 0.000 Dy
0.000 0.330 0.000 Dy
```

Entry 4:
Compound: Dy5Ge3
Source: the Alexandria database
Functional: PBEsol
Structure: relaxed

Geometry as POSCAR:
```
Dy5Ge3
1.0
6.303 0.000 0.000
0.000 8.393 0.000
0.000 -4.196 7.268
Ge Dy
6 10
Direct
0.750 0.000 0.394 Ge
0.750 0.606 0.606 Ge
0.750 0.394 0.000 Ge
0.250 0.000 0.606 Ge
0.250 0.606 0.000 Ge
0.250 0.394 0.394 Ge
0.250 0.000 0.242 Dy
0.500 0.333 0.667 Dy
0.250 0.758 0.758 Dy
0.000 0.667 0.333 Dy
0.750 0.000 0.758 Dy
0.750 0.758 0.000 Dy
0.000 0.333 0.667 Dy
0.500 0.667 0.333 Dy
0.250 0.242 0.000 Dy
0.750 0.242 0.242 Dy
```

Entry 5:
Compound: Dy2InGe2
Source: the Alexandria database
Functional: PBEsol
Structure: relaxed

Geometry as POSCAR:
```
Dy2InGe2
1.0
-3.733 -1.593 0.820
2.241 -6.481 -2.389
2.202 -1.710 6.706
Dy Ge In
4 4 2
Direct
0.500 0.178 0.322 Dy
0.500 0.822 0.678 Dy
0.500 0.678 0.178 Dy
0.500 0.322 0.822 Dy
0.000 0.622 0.878 Ge
0.000 0.122 0.622 Ge
0.000 0.378 0.122 Ge
0.000 0.878 0.378 Ge
0.000 0.000 0.000 In
0.000 0.500 0.500 In
```

Entry 6:
Compound: Dy4InNi2Ge4
Source: the Alexandria database
Functional: PBEsol
Structure: relaxed

Geometry as POSCAR:
```
Dy4InNi2Ge4
1.0
-1.025 1.056 3.918
0.003 -6.701 1.807
7.521 2.303 -0.889
Dy Ge In Ni
4 4 1 2
Direct
0.592 0.392 0.184 Dy
0.656 0.939 0.312 Dy
0.408 0.608 0.816 Dy
0.344 0.061 0.688 Dy
0.065 0.664 0.130 Ge
0.795 0.724 0.590 Ge
0.935 0.336 0.870 Ge
0.205 0.276 0.410 Ge
0.000 0.000 0.000 In
0.216 0.647 0.432 Ni
0.784 0.353 0.568 Ni
```

Entry 7:
Compound: DyGeIr
Source: the Alexandria database
Functional: PBEsol
Structure: relaxed

Geometry as POSCAR:
```
DyGeIr
1.0
4.265 0.000 0.000
0.000 6.800 0.000
0.000 0.000 7.514
Ir Ge Dy
4 4 4
Direct
0.250 0.160 0.066 Ir
0.250 0.660 0.434 Ir
0.750 0.840 0.934 Ir
0.750 0.340 0.566 Ir
0.750 0.709 0.610 Ge
0.750 0.209 0.890 Ge
0.250 0.291 0.390 Ge
0.250 0.791 0.110 Ge
0.750 0.997 0.309 Dy
0.250 0.503 0.809 Dy
0.250 0.003 0.691 Dy
0.750 0.497 0.191 Dy
```

Entry 8:
Compound: Dy5Ge10Ir4
Source: the Alexandria database
Functional: PBEsol
Structure: relaxed

Geometry as POSCAR:
```
Dy5Ge10Ir4
1.0
4.286 0.000 0.000
0.000 12.859 0.000
0.000 0.000 12.859
Dy Ge Ir
10 20 8
Direct
0.500 0.116 0.616 Dy
0.000 0.000 0.000 Dy
0.500 0.616 0.884 Dy
0.500 0.826 0.674 Dy
0.500 0.326 0.826 Dy
0.500 0.674 0.174 Dy
0.500 0.174 0.326 Dy
0.500 0.884 0.384 Dy
0.000 0.500 0.500 Dy
0.500 0.384 0.116 Dy
0.500 0.343 0.496 Ge
0.000 0.067 0.433 Ge
0.500 0.996 0.843 Ge
0.000 0.801 0.836 Ge
0.500 0.657 0.504 Ge
0.500 0.157 0.996 Ge
0.500 0.496 0.657 Ge
0.500 0.004 0.157 Ge
0.000 0.933 0.567 Ge
0.000 0.433 0.933 Ge
0.000 0.664 0.699 Ge
0.000 0.567 0.067 Ge
0.000 0.199 0.164 Ge
0.500 0.504 0.343 Ge
0.500 0.843 0.004 Ge
0.000 0.336 0.301 Ge
0.000 0.836 0.199 Ge
0.000 0.301 0.664 Ge
0.000 0.699 0.336 Ge
0.000 0.164 0.801 Ge
0.000 0.020 0.247 Ir
0.000 0.980 0.753 Ir
0.000 0.247 0.980 Ir
0.000 0.747 0.520 Ir
0.000 0.520 0.253 Ir
0.000 0.480 0.747 Ir
0.000 0.253 0.480 Ir
0.000 0.753 0.020 Ir
```

ΔH_f (0 K) (computed, kJ per mole of atoms): -87, -91, -75, -80, -75, -82, -93, -80